The following is a PBE calculation of Ac2PrTl after structural relaxation, from Alexandria.

Unit cell a=3.957 b=3.957 c=9.810 alpha=90.00 beta=90.00 gamma=90.00
Element x y z (fractional)
Ac  0.000  0.000  0.227
Ac  0.000  0.000  0.773
Pr  0.500  0.500  0.500
Tl  0.500  0.500  0.000

Calculated values
E_tot   -15.9 eV per formula unit
SG   P4/mmm
Energy of formation from the pure elements   -13.5 kJ per mole of atoms
Volume   38.41 Å³ per atom
Magnetization   0.00 μB per formula unit

=====

The following is a PBE calculation of IrSF2 after structural relaxation, from Alexandria.

Unit cell a=6.148 b=6.148 c=6.148 alpha=97.26 beta=97.26 gamma=138.36
Element x y z (fractional)
Ir  0.000  0.000  0.000
Ir  0.750  0.250  0.500
S  0.250  0.750  0.500
S  0.500  0.500  0.000
F  0.375  0.203  0.328
F  0.797  0.125  0.172
F  0.875  0.047  0.672
F  0.953  0.625  0.828

Calculated values
E_tot   -18.1 eV per formula unit
Uncorrected formation energy   -349.6 meV/atom
SG   I-42d
Volume   18.04 Å³ per atom
Magnetization   0.00 μB per formula unit

=====

The following is a PBE calculation of PmPRh3 after structural relaxation, from Alexandria.

Unit cell a=6.395 b=6.395 c=6.395 alpha=120.60 beta=87.97 gamma=121.76
Element x y z (fractional)
Pm  0.284  0.034  0.250
Pm  0.716  0.966  0.750
P  0.000  0.500  0.500
P  0.500  0.500  0.000
Rh  0.203  0.453  0.750
Rh  0.214  0.000  0.714
Rh  0.214  0.500  0.214
Rh  0.786  0.000  0.286
Rh  0.786  0.500  0.786
Rh  0.797  0.547  0.250

Calculated values
E_tot   -35.9 eV per formula unit
SG   Imma
Energy of formation from the pure elements   -70.8 kJ per mole of atoms
Volume   18.15 Å³ per atom
Magnetization   0.00 μB per formula unit

=====

Repeat the first record exactly.
The following is a PBE calculation of Ac2PrTl after structural relaxation, from Alexandria.

Unit cell a=3.957 b=3.957 c=9.810 alpha=90.00 beta=90.00 gamma=90.00
Element x y z (fractional)
Ac  0.000  0.000  0.227
Ac  0.000  0.000  0.773
Pr  0.500  0.500  0.500
Tl  0.500  0.500  0.000

Calculated values
E_tot   -15.9 eV per formula unit
SG   P4/mmm
Energy of formation from the pure elements   -13.5 kJ per mole of atoms
Volume   38.41 Å³ per atom
Magnetization   0.00 μB per formula unit